Density functional theory data (GGA-PBE) for a geometry-optimized SrCrOs2 structure.

Cell: 9.4506 3.0957 5.8109 Å, 90.00 105.24 90.00°
Closest atoms and distances in Å follow each position.
Space group Cm (No. 8)
Asymmetric unit:
Sr (0.0000, 0.0000, 0.0000) (multiplicity 2)  2 Sr 3.10, 3 Cr 3.22-3.40, 7 Os 3.23-3.43
Cr (0.2048, 0.0000, 0.6356) (multiplicity 2)  4 Os 2.38-2.46
Os (0.2742, 0.5000, 0.3746) (multiplicity 2)  2 Cr 2.38, 2 Os 2.57
Os (0.4984, 0.0000, 0.4868) (multiplicity 2)  2 Cr 2.46, 2 Os 2.57

Values from the calculation:
polymorph energy (0 for the lowest one): 0.108 eV/atom
E: -7.760 eV/atom
ΔH_f (0 K): 681 meV/atom

Density functional theory data (GGA-PBE) for a geometry-optimized Sr4CrOs structure.

Cell: 9.2299 9.2299 9.2299 Å, 90.00 90.00 90.00°
Closest atoms and distances in Å follow each position.
Space group F-43m (No. 216)
Asymmetric unit:
Sr (0.1239, 0.1239, 0.3761) (multiplicity 16)  6 Sr 3.23-3.29
Cr (0.0000, 0.0000, 0.0000) (multiplicity 4)  12 Sr 3.83, 4 Os 4.00
Os (0.2500, 0.2500, 0.7500) (multiplicity 4)  12 Sr 3.82, 4 Cr 4.00

Values from the calculation:
E: -3.113 eV/atom
ΔH_f (0 K): 1484 meV/atom

Density functional theory data (GGA-PBE) for a geometry-optimized SrCrOs2 structure.

Cell: 2.9955 2.9955 7.8209 Å, 90.00 90.00 90.00°
Closest atoms and distances in Å follow each position.
Space group P4/mmm (No. 123)
Asymmetric unit:
Sr (0.0000, 0.0000, 0.0000) (multiplicity 1)  4 Sr 3.00, 8 Os 3.27
Cr (0.0000, 0.0000, 0.5000) (multiplicity 1)  8 Os 2.55
Os (0.5000, 0.5000, 0.3189) (multiplicity 2)  4 Cr 2.55, 1 Os 2.83

Values from the calculation:
polymorph energy (0 for the lowest one): 0.000 eV/atom
E: -7.868 eV/atom
ΔH_f (0 K): 573 meV/atom

Density functional theory data (GGA-PBE) for a geometry-optimized SrCrOs structure.

Cell: 4.0269 4.0269 5.0951 Å, 90.00 90.00 120.00°
Closest atoms and distances in Å follow each position.
Space group P-6m2 (No. 187)
Asymmetric unit:
Sr (0.0000, 0.0000, 0.0000) (multiplicity 1)  6 Cr 3.45, 6 Os 3.45
Cr (0.6667, 0.3333, 0.5000) (multiplicity 1)  3 Os 2.32
Os (0.3333, 0.6667, 0.5000) (multiplicity 1)  3 Cr 2.32

Values from the calculation:
polymorph energy (0 for the lowest one): 0.000 eV/atom
E: -6.978 eV/atom
ΔH_f (0 K): 533 meV/atom

Density functional theory data (GGA-PBE) for a geometry-optimized SrCrOs2 structure.

Cell: 8.7912 2.9431 6.2778 Å, 90.00 103.37 90.00°
Closest atoms and distances in Å follow each position.
Space group C2/m (No. 12)
Asymmetric unit:
Sr (0.0000, 0.0000, 0.0000) (multiplicity 2)  2 Sr 2.94, 6 Os 3.23-3.26
Cr (0.0000, 0.5000, 0.5000) (multiplicity 2)  4 Os 2.42
Os (0.2174, 0.0000, 0.6491) (multiplicity 4)  2 Cr 2.42, 2 Os 2.55

Values from the calculation:
polymorph energy (0 for the lowest one): 0.112 eV/atom
E: -7.757 eV/atom
ΔH_f (0 K): 684 meV/atom

Density functional theory data (GGA-PBE) for a geometry-optimized SrCrOs3 structure.

Cell: 4.7323 4.7323 4.7323 Å, 90.00 90.00 90.00°
Closest atoms and distances in Å follow each position.
Space group Pm-3m (No. 221)
Asymmetric unit:
Sr (0.0000, 0.0000, 0.0000) (multiplicity 1)  6 Os 2.37
Cr (0.5000, 0.5000, 0.5000) (multiplicity 1)  12 Os 3.35
Os (0.0000, 0.0000, 0.5000) (multiplicity 3)  2 Sr 2.37

Values from the calculation:
polymorph energy (0 for the lowest one): 2.807 eV/atom
E: -5.027 eV/atom
ΔH_f (0 K): 3972 meV/atom